No. 1
TbScRe: relaxed, PBE.

Output
SG: F-43m

Lattice parameters (Å, degrees): 4.6186 4.6186 4.6186 60.00 60.00 60.00
With the nearest neighbours (Å) after each atom.
Fractional positions:
Re1 0.2500 0.2500 0.2500  4 Sc 2.83
Sc1 0.0000 0.0000 0.0000  4 Re 2.83, 4 Tb 2.83
Tb1 0.7500 0.7500 0.7500  4 Sc 2.83

No. 2
ScReTc2: relaxed, PBE.

Output
SG: Fm-3m

Lattice parameters (Å, degrees): 4.4292 6.2633 13.2942 90.00 90.00 90.00
With the nearest neighbours (Å) after each atom.
Fractional positions:
Re1 0.0000 0.0000 0.0000  8 Tc 2.71
Re2 0.5000 0.5000 0.1667  8 Tc 2.71
Re3 0.0000 0.0000 0.3333  8 Tc 2.71
Re4 0.5000 0.5000 0.5000  8 Tc 2.71
Re5 0.0000 0.0000 0.6667  8 Tc 2.71
Re6 0.5000 0.5000 0.8333  8 Tc 2.71
Sc1 0.0000 0.5000 0.0000  8 Tc 2.71
Sc2 0.5000 0.0000 0.1667  8 Tc 2.71
Sc3 0.0000 0.5000 0.3333  8 Tc 2.71
Sc4 0.5000 0.0000 0.5000  8 Tc 2.71
Sc5 0.0000 0.5000 0.6667  8 Tc 2.71
Sc6 0.5000 0.0000 0.8333  8 Tc 2.71
Tc1 0.5000 0.2499 0.0000  4 Re 2.71, 4 Sc 2.71
Tc2 0.5000 0.7501 0.0000  4 Re 2.71, 4 Sc 2.71
Tc3 0.0000 0.2500 0.1667  4 Re 2.71, 4 Sc 2.71
Tc4 0.0000 0.7500 0.1667  4 Re 2.71, 4 Sc 2.71
Tc5 0.5000 0.2500 0.3333  4 Re 2.71, 4 Sc 2.71
Tc6 0.5000 0.7500 0.3333  4 Re 2.71, 4 Sc 2.71
Tc7 0.0000 0.2501 0.5000  4 Re 2.71, 4 Sc 2.71
Tc8 0.0000 0.7499 0.5000  4 Re 2.71, 4 Sc 2.71
Tc9 0.5000 0.2500 0.6667  4 Re 2.71, 4 Sc 2.71
Tc10 0.5000 0.7500 0.6667  4 Re 2.71, 4 Sc 2.71
Tc11 0.0000 0.2500 0.8333  4 Re 2.71, 4 Sc 2.71
Tc12 0.0000 0.7500 0.8333  4 Re 2.71, 4 Sc 2.71

| no. | raw total energy (eV per atom) | total moment (μB per atom) |
| --- | --- | --- |
| 1 | -6.854 | 0.000 |
| 2 | -10.066 | 0.001 |